# 1
Computed, not measured: a geometry-optimized ErZnAgRh structure at the PBE-GGA level of DFT.

Properties
- DOS(E_F): 0.5386 states/eV/atom
- Formation enthalpy at 0 K: -415 meV/atom
- Symmetry: F-43m (216)
- Uncorrected energy: -4.43 eV per atom
- ρ: 10179 kg/m3

a b c (Å): 6.614 6.614 6.614
angles (deg): 90.00 90.00 90.00
Fractional positions:
Er  0.000  0.000  0.000
Er  0.000  0.500  0.500
Er  0.500  0.000  0.500
Er  0.500  0.500  0.000
Zn  0.000  0.000  0.500
Zn  0.000  0.500  0.000
Zn  0.500  0.000  0.000
Zn  0.500  0.500  0.500
Ag  0.250  0.250  0.250
Ag  0.250  0.750  0.750
Ag  0.750  0.250  0.750
Ag  0.750  0.750  0.250
Rh  0.250  0.250  0.750
Rh  0.250  0.750  0.250
Rh  0.750  0.250  0.250
Rh  0.750  0.750  0.750

# 2
Computed, not measured: a geometry-optimized Er4Ag2Ru structure at the PBE-GGA level of DFT.

Properties
- DOS(E_F): 0.7123 states/eV/atom
- Formation enthalpy at 0 K: -253 meV/atom
- Symmetry: Cmmm (65)
- Uncorrected energy: -5.00 eV per atom
- ρ: 9560 kg/m3

a b c (Å): 7.111 9.865 4.882
angles (deg): 90.00 90.00 90.00
Fractional positions:
Er  0.239  0.000  0.000
Er  0.250  0.250  0.500
Er  0.250  0.750  0.500
Er  0.261  0.500  0.000
Er  0.739  0.500  0.000
Er  0.750  0.250  0.500
Er  0.750  0.750  0.500
Er  0.761  0.000  0.000
Ag  0.000  0.252  0.000
Ag  0.000  0.748  0.000
Ag  0.500  0.248  0.000
Ag  0.500  0.752  0.000
Ru  0.000  0.000  0.500
Ru  0.500  0.500  0.500